[1]
This record from the Alexandria database describes an optimized crystal structure of Rb2PtCl6. The functional is GGA-PBE.

Properties
* symmetry: Fm-3m
* formation energy (no corrections): -1.2295 eV/atom

Unit cell a=7.2196 b=7.2196 c=7.2196 alpha=60.00 beta=60.00 gamma=60.00
Closest atoms and distances in Å follow each position.
Atoms (fractional coordinates):
Pt 0.0000 0.0000 0.0000  6 Cl 2.35
Cl 0.7696 0.2304 0.7696  1 Pt 2.35
Cl 0.2304 0.2304 0.7696  1 Pt 2.35
Cl 0.2304 0.7696 0.7696  1 Pt 2.35
Cl 0.7696 0.7696 0.2304  1 Pt 2.35
Cl 0.2304 0.7696 0.2304  1 Pt 2.35
Cl 0.7696 0.2304 0.2304  1 Pt 2.35
Rb 0.2500 0.2500 0.2500  12 Cl 3.62
Rb 0.7500 0.7500 0.7500  12 Cl 3.62



[2]
This record from the Alexandria database describes an optimized crystal structure of Na2LiH4Au. The functional is GGA-PBE.

Properties
* calculated total energy: -2.79 eV per atom
* symmetry: Fddd

Unit cell a=4.8220 b=5.6821 c=9.3988 alpha=83.75 beta=75.14 gamma=64.89
Closest atoms and distances in Å follow each position.
Atoms (fractional coordinates):
Na 0.5726 0.5000 0.8547  8 H 2.74-2.95
Na 0.1774 0.0000 0.6453  8 H 2.74-2.95
Na 0.9274 0.5000 0.1453  8 H 2.74-2.95
Na 0.8226 0.0000 0.3547  8 H 2.74-2.95
H 0.5900 0.1958 0.1020  1 Au 1.79, 1 Li 1.86
H 0.8877 0.8042 0.8980  1 Au 1.79, 1 Li 1.86
H 0.1600 0.3042 0.3980  1 Au 1.79, 1 Li 1.86
H 0.3081 0.8042 0.1020  1 Au 1.79, 1 Li 1.86
H 0.5358 0.3042 0.6020  1 Au 1.79, 1 Li 1.86
H 0.2142 0.1958 0.8980  1 Au 1.79, 1 Li 1.86
H 0.4419 0.6958 0.3980  1 Au 1.79, 1 Li 1.86
H 0.8623 0.6958 0.6020  1 Au 1.79, 1 Li 1.86
Au 0.2500 0.5000 0.5000  4 H 1.79
Au 0.5000 0.0000 0.0000  4 H 1.79
Li 0.7500 0.5000 0.5000  4 H 1.86
Li 0.0000 0.0000 0.0000  4 H 1.86



[3]
This record from the Alexandria database describes an optimized crystal structure of TmMg14Hg. The functional is GGA-PBE.

Properties
* symmetry: P4/mmm
* energy of formation: -0.015 eV per atom

Unit cell a=6.7208 b=6.7208 c=8.2774 alpha=90.00 beta=90.00 gamma=90.01
Closest atoms and distances in Å follow each position.
Atoms (fractional coordinates):
Mg 0.6197 0.1303 0.7512  10 Mg 3.11-3.43, 1 Hg 3.12, 1 Tm 3.20
Mg 0.1303 0.6197 0.2488  10 Mg 3.11-3.43, 1 Hg 3.12, 1 Tm 3.20
Mg 0.1303 0.6197 0.7512  10 Mg 3.11-3.43, 1 Hg 3.12, 1 Tm 3.20
Mg 0.3750 0.8750 0.5000  8 Mg 3.16, 2 Hg 3.36, 2 Tm 3.36
Mg 0.1302 0.1302 0.2488  10 Mg 3.11-3.43, 1 Hg 3.12, 1 Tm 3.20
Mg 0.8750 0.3750 0.0000  12 Mg 3.14-3.36
Mg 0.3750 0.8750 0.0000  12 Mg 3.14-3.36
Mg 0.6198 0.6198 0.2487  10 Mg 3.11-3.43, 1 Hg 3.12, 1 Tm 3.20
Mg 0.3750 0.3750 0.0000  12 Mg 3.11-3.36
Mg 0.6198 0.6198 0.7513  10 Mg 3.11-3.43, 1 Hg 3.12, 1 Tm 3.20
Mg 0.8750 0.3750 0.5000  8 Mg 3.16, 2 Hg 3.36, 2 Tm 3.36
Mg 0.6197 0.1303 0.2488  10 Mg 3.11-3.43, 1 Hg 3.12, 1 Tm 3.20
Mg 0.8750 0.8750 0.0000  12 Mg 3.18-3.36
Mg 0.1302 0.1302 0.7512  10 Mg 3.11-3.43, 1 Hg 3.12, 1 Tm 3.20
Tm 0.8750 0.8750 0.5000  12 Mg 3.20-3.36
Hg 0.3750 0.3750 0.5000  12 Mg 3.12-3.36



- What is the formula in the second record?
  Na2LiH4Au